This record from Alexandria via LeMat-Bulk describes a relaxed SrMg2Cr crystal. The functional is GGA-PBE.

Summary:
* SG: No. 122
* magnetic moment: 17.3 μB per cell

a = 4.652 Å, b = 4.652 Å, c = 22.072 Å
α = 90.00°, β = 90.00°, γ = 90.00°
Positions (direct):
Sr 0.000 0.000 0.000
Sr 0.000 0.500 0.250
Sr 0.500 0.000 0.750
Sr 0.500 0.500 0.500
Mg 0.194 0.250 0.625
Mg 0.250 0.694 0.875
Mg 0.250 0.806 0.375
Mg 0.306 0.250 0.125
Mg 0.694 0.750 0.125
Mg 0.750 0.194 0.375
Mg 0.750 0.306 0.875
Mg 0.806 0.750 0.625
Cr 0.000 0.000 0.500
Cr 0.000 0.500 0.750
Cr 0.500 0.000 0.250
Cr 0.500 0.500 0.000

This record from Alexandria via LeMat-Bulk describes a relaxed CeNd2Dy3Se6 crystal. The functional is GGA-PBE.

Summary:
* formation energy (no corrections): -1.80 eV/atom
* SG: No. 12
* magnetic moment: 1.2 μB per cell

a = 9.311 Å, b = 9.311 Å, c = 8.390 Å
α = 104.06°, β = 104.06°, γ = 25.49°
Positions (direct):
Ce 0.000 0.000 0.000
Nd 0.334 0.334 0.668
Nd 0.666 0.666 0.332
Dy 0.000 0.000 0.500
Dy 0.332 0.332 0.165
Dy 0.668 0.668 0.835
Se 0.164 0.164 0.592
Se 0.169 0.169 0.075
Se 0.496 0.496 0.257
Se 0.504 0.504 0.743
Se 0.831 0.831 0.925
Se 0.836 0.836 0.408

This record from Alexandria via LeMat-Bulk describes a relaxed Pr3PaTl3S8 crystal. The functional is GGA-PBE.

Summary:
* formation energy (no corrections): -1.47 eV/atom
* SG: No. 166
* magnetic moment: 1.1 μB per cell

a = 8.966 Å, b = 8.966 Å, c = 8.966 Å
α = 55.57°, β = 55.57°, γ = 55.57°
Positions (direct):
Pr 0.000 0.500 0.500
Pr 0.500 0.000 0.500
Pr 0.500 0.500 0.000
Pa 0.000 0.000 0.000
Tl 0.000 0.000 0.500
Tl 0.000 0.500 0.000
Tl 0.500 0.000 0.000
S 0.224 0.224 0.749
S 0.224 0.749 0.224
S 0.251 0.776 0.776
S 0.265 0.265 0.265
S 0.735 0.735 0.735
S 0.749 0.224 0.224
S 0.776 0.251 0.776
S 0.776 0.776 0.251

This record from Alexandria via LeMat-Bulk describes a relaxed Cd2AsIr crystal. The functional is GGA-PBE.

Summary:
* SG: No. 141
* magnetic moment: 0.0 μB per cell

a = 10.445 Å, b = 10.445 Å, c = 4.584 Å
α = 90.00°, β = 90.00°, γ = 90.00°
Positions (direct):
Cd 0.000 0.000 0.000
Cd 0.000 0.500 0.000
Cd 0.250 0.250 0.750
Cd 0.250 0.750 0.250
Cd 0.500 0.000 0.500
Cd 0.500 0.500 0.500
Cd 0.750 0.250 0.750
Cd 0.750 0.750 0.250
As 0.000 0.250 0.375
As 0.000 0.750 0.625
As 0.500 0.250 0.125
As 0.500 0.750 0.875
Ir 0.000 0.250 0.875
Ir 0.000 0.750 0.125
Ir 0.500 0.250 0.625
Ir 0.500 0.750 0.375

This record from Alexandria via LeMat-Bulk describes a relaxed KLiRe2 crystal. The functional is GGA-PBE.

Summary:
* energy above the most stable polymorph in this dataset: 581.8 meV/atom
* SG: No. 122
* magnetic moment: 0.0 μB per cell

a = 3.675 Å, b = 3.675 Å, c = 22.523 Å
α = 90.00°, β = 90.00°, γ = 90.00°
Positions (direct):
K 0.000 0.000 0.000
K 0.000 0.500 0.250
K 0.500 0.000 0.750
K 0.500 0.500 0.500
Li 0.000 0.000 0.500
Li 0.000 0.500 0.750
Li 0.500 0.000 0.250
Li 0.500 0.500 0.000
Re 0.229 0.250 0.625
Re 0.250 0.729 0.875
Re 0.250 0.771 0.375
Re 0.271 0.250 0.125
Re 0.729 0.750 0.125
Re 0.750 0.229 0.375
Re 0.750 0.271 0.875
Re 0.771 0.750 0.625

This record from Alexandria via LeMat-Bulk describes a relaxed CeHoBiO2 crystal. The functional is GGA-PBE.

Summary:
* formation energy (no corrections): -2.64 eV/atom
* SG: No. 107
* magnetic moment: 1.2 μB per cell

a = 3.955 Å, b = 3.955 Å, c = 13.173 Å
α = 90.00°, β = 90.00°, γ = 90.00°
Positions (direct):
Ce 0.000 0.000 0.000
Ce 0.500 0.500 0.500
Ho 0.000 0.000 0.674
Ho 0.500 0.500 0.174
Bi 0.000 0.000 0.336
Bi 0.500 0.500 0.836
O 0.000 0.500 0.091
O 0.000 0.500 0.591
O 0.500 0.000 0.091
O 0.500 0.000 0.591

This record from Alexandria via LeMat-Bulk describes a relaxed YZrN2O crystal. The functional is GGA-PBE.

Summary:
* formation energy (no corrections): -1.36 eV/atom
* SG: No. 123
* magnetic moment: 0.0 μB per cell

a = 4.186 Å, b = 4.186 Å, c = 4.116 Å
α = 90.00°, β = 90.00°, γ = 90.00°
Positions (direct):
Y 0.000 0.000 0.000
Zr 0.500 0.500 0.500
N 0.000 0.500 0.500
N 0.500 0.000 0.500
O 0.500 0.500 0.000

This record from Alexandria via LeMat-Bulk describes a relaxed Pm3Zn7Pt4 crystal. The functional is GGA-PBE.

Summary:
* SG: No. 12
* magnetic moment: 0.0 μB per cell

a = 8.103 Å, b = 8.103 Å, c = 9.341 Å
α = 122.81°, β = 122.81°, γ = 31.42°
Positions (direct):
Pm 0.000 0.000 0.000
Pm 0.299 0.299 0.292
Pm 0.701 0.701 0.708
Zn 0.000 0.000 0.500
Zn 0.144 0.144 0.422
Zn 0.327 0.327 0.982
Zn 0.497 0.497 0.695
Zn 0.503 0.503 0.305
Zn 0.673 0.673 0.018
Zn 0.856 0.856 0.578
Pt 0.118 0.118 0.833
Pt 0.339 0.339 0.715
Pt 0.661 0.661 0.285
Pt 0.882 0.882 0.167

This record from Alexandria via LeMat-Bulk describes a relaxed NaZn10Au2 crystal. The functional is GGA-PBE.

Summary:
* SG: No. 63
* magnetic moment: 0.0 μB per cell

a = 6.911 Å, b = 6.911 Å, c = 9.274 Å
α = 90.00°, β = 90.00°, γ = 98.77°
Positions (direct):
Na 0.131 0.869 0.750
Na 0.869 0.131 0.250
Zn 0.138 0.372 0.750
Zn 0.158 0.842 0.107
Zn 0.158 0.842 0.393
Zn 0.221 0.221 0.000
Zn 0.221 0.221 0.500
Zn 0.232 0.476 0.250
Zn 0.372 0.138 0.250
Zn 0.403 0.597 0.588
Zn 0.403 0.597 0.912
Zn 0.476 0.232 0.750
Zn 0.524 0.768 0.250
Zn 0.597 0.403 0.088
Zn 0.597 0.403 0.412
Zn 0.628 0.862 0.750
Zn 0.768 0.524 0.750
Zn 0.779 0.779 0.000
Zn 0.779 0.779 0.500
Zn 0.842 0.158 0.607
Zn 0.842 0.158 0.893
Zn 0.862 0.628 0.250
Au 0.000 0.500 0.000
Au 0.000 0.500 0.500
Au 0.500 0.000 0.000
Au 0.500 0.000 0.500

This record from Alexandria via LeMat-Bulk describes a relaxed CdSiAg2S4 crystal. The functional is GGA-PBE.

Summary:
* formation energy (no corrections): -0.44 eV/atom
* SG: No. 121
* magnetic moment: 0.0 μB per cell

a = 5.599 Å, b = 5.599 Å, c = 11.631 Å
α = 90.00°, β = 90.00°, γ = 90.00°
Positions (direct):
Cd 0.000 0.000 0.000
Cd 0.500 0.500 0.500
Si 0.000 0.000 0.500
Si 0.500 0.500 0.000
Ag 0.000 0.500 0.250
Ag 0.000 0.500 0.750
Ag 0.500 0.000 0.250
Ag 0.500 0.000 0.750
S 0.217 0.217 0.612
S 0.217 0.783 0.388
S 0.283 0.283 0.112
S 0.283 0.717 0.888
S 0.717 0.283 0.888
S 0.717 0.717 0.112
S 0.783 0.217 0.388
S 0.783 0.783 0.612

Final energy: -3.0342; -5.9797; -5.7384; -3.7665; -5.7779; -7.5014; -8.6838; -4.1020; -1.6861; -4.0125 (eV/atom)